# 1
Compound: Hf2FeSe2
Source: the Alexandria database
Functional: PBE-GGA
Structure: optimized geometry

a = 5.200 Å, b = 5.200 Å, c = 5.246 Å
α = 60.29°, β = 60.29°, γ = 90.00°
Last column: magnetic moment on the atom in μB.
Sites, in units of the cell vectors:
Hf  0.750  0.250  0.500  -0.04
Hf  0.250  0.750  0.500  -0.04
Fe  0.000  0.000  0.000  2.22
Se  0.309  0.309  0.382  -0.01
Se  0.691  0.691  0.618  -0.01

Properties
Magnetic moment in μB/cell: 2.15
E_form (uncorrected) in meV/atom: -295
Energy above the lowest structure with this stoichiometry in eV per atom: 0.142

=====

# 2
Compound: Nd12TlIn3
Source: the Alexandria database
Functional: PBE-GGA
Structure: optimized geometry

a = 4.985 Å, b = 4.985 Å, c = 20.002 Å
α = 90.00°, β = 90.00°, γ = 90.00°
Sites, in units of the cell vectors:
Nd  0.500  0.500  0.000
Nd  0.500  0.500  0.250
Nd  0.500  0.500  0.500
Nd  0.500  0.500  0.750
Nd  0.500  0.000  0.126
Nd  0.500  0.000  0.375
Nd  0.500  0.000  0.625
Nd  0.500  0.000  0.874
Nd  0.000  0.500  0.126
Nd  0.000  0.500  0.375
Nd  0.000  0.500  0.625
Nd  0.000  0.500  0.874
Tl  0.000  0.000  0.000
In  0.000  0.000  0.250
In  0.000  0.000  0.500
In  0.000  0.000  0.750

Properties
Magnetic moment in μB/cell: 0.00
VASP energy in eV/atom: -4.50

=====

- magnetic moment of number 2 (Nd12TlIn3)?
  0.00 μB/cell